[1]
# Na6Ag2Au

A relaxed structure of Na6Ag2Au (PBE-GGA, Alexandria).

Computed properties:
- Calculated volume: 272.4 Å³/f.u.
- E above lowest polymorph: 75 meV/atom
- D(E_F): 5.27 states/eV/f.u.
- Energy of formation from the pure elements: -0.01 eV per atom

Cell lengths 8.706, 8.706, 5.085 Å; angles 106.04, 106.04, 47.84 degrees
Positions (direct):
Na1 0.083 0.589 0.336
Na2 0.243 0.757 0.000
Na3 0.411 0.917 0.664
Na4 0.589 0.083 0.336
Na5 0.757 0.243 0.000
Na6 0.917 0.411 0.664
Ag1 0.333 0.333 0.834
Ag2 0.667 0.667 0.166
Au1 0.000 0.000 0.500


[2]
# Rb2CoHgN

A relaxed structure of Rb2CoHgN (PBE-GGA, Alexandria).

Computed properties:
- Calculated volume: 138.5 Å³/f.u.
- Formation energy from raw total energies: 0.0623 eV/atom
- D(E_F): 6.12 states/eV/f.u.

Cell lengths 6.294, 6.294, 3.497 Å; angles 90.00, 90.00, 90.00 degrees
Positions (direct):
Rb1 0.000 0.500 0.000
Rb2 0.500 0.000 0.000
Co1 0.000 0.000 0.500
Hg1 0.500 0.500 0.500
N1 0.000 0.000 0.000


[3]
# TbTiN2

A relaxed structure of TbTiN2 (PBE-GGA, Alexandria).

Computed properties:
- Calculated volume: 48.2 Å³/f.u.
- Formation energy from raw total energies: -1.4066 eV/atom
- D(E_F): 1.91 states/eV/f.u.

Cell lengths 5.873, 5.873, 5.873 Å; angles 31.20, 31.20, 31.20 degrees
Positions (direct):
Tb1 0.000 0.000 0.000
Ti1 0.827 0.827 0.827
N1 0.233 0.233 0.233
N2 0.425 0.425 0.425


[4]
# ZrZn2GaN

A relaxed structure of ZrZn2GaN (PBE-GGA, Alexandria).

Computed properties:
- Calculated volume: 100.8 Å³/f.u.
- Formation energy from raw total energies: 1.1403 eV/atom
- D(E_F): 1.78 states/eV/f.u.

Cell lengths 4.328, 4.328, 5.380 Å; angles 90.00, 90.00, 90.00 degrees
Positions (direct):
Zr1 0.000 0.000 0.000
Zn1 0.000 0.500 0.500
Zn2 0.500 0.000 0.500
Ga1 0.000 0.000 0.500
N1 0.500 0.500 0.000


[5]
# Rh2C

A relaxed structure of Rh2C (PBE-GGA, Alexandria).

Computed properties:
- Calculated volume: 35.0 Å³/f.u.
- E above lowest polymorph: 187 meV/atom
- D(E_F): 2.40 states/eV/f.u.
- Energy of formation from the pure elements: 0.38 eV per atom

Cell lengths 2.811, 2.811, 10.221 Å; angles 90.00, 90.00, 120.00 degrees
Positions (direct):
Rh1 0.333 0.667 0.117
Rh2 0.333 0.667 0.383
Rh3 0.667 0.333 0.617
Rh4 0.667 0.333 0.883
C1 0.000 0.000 0.250
C2 0.000 0.000 0.750


[6]
# Cd2AsSe

A relaxed structure of Cd2AsSe (PBE-GGA, Alexandria).

Computed properties:
- Calculated volume: 93.6 Å³/f.u.
- Formation energy from raw total energies: -0.0196 eV/atom
- E above lowest polymorph: 159 meV/atom
- D(E_F): 1.37 states/eV/f.u.

Cell lengths 4.978, 4.978, 4.360 Å; angles 104.87, 104.87, 106.52 degrees
Positions (direct):
Cd1 0.000 0.500 0.000
Cd2 0.500 0.000 0.000
As1 0.000 0.000 0.500
Se1 0.500 0.500 0.500


[7]
# Sr3CaN2

A relaxed structure of Sr3CaN2 (PBE-GGA, Alexandria).

Computed properties:
- Calculated volume: 171.4 Å³/f.u.
- Formation energy from raw total energies: -0.5972 eV/atom
- D(E_F): 1.92 states/eV/f.u.

Cell lengths 8.919, 8.919, 13.119 Å; angles 126.87, 126.87, 24.59 degrees
Positions (direct):
Sr1 0.148 0.148 0.209
Sr2 0.352 0.352 0.045
Sr3 0.352 0.352 0.537
Sr4 0.648 0.648 0.463
Sr5 0.648 0.648 0.955
Sr6 0.852 0.852 0.791
Ca1 0.165 0.165 0.722
Ca2 0.835 0.835 0.278
N1 0.249 0.249 0.627
N2 0.251 0.251 0.128
N3 0.749 0.749 0.872
N4 0.751 0.751 0.373


[8]
# Sr2CuReO6

A relaxed structure of Sr2CuReO6 (PBE-GGA, Alexandria).

Computed properties:
- Calculated volume: 130.6 Å³/f.u.
- Formation energy from raw total energies: -2.0057 eV/atom
- D(E_F): 0.69 states/eV/f.u.

Cell lengths 5.670, 5.670, 5.749 Å; angles 119.76, 119.76, 59.47 degrees
Positions (direct):
Sr1 0.250 0.250 0.242
Sr2 0.750 0.750 0.758
Cu1 0.000 0.000 0.500
Re1 0.500 0.500 0.000
O1 0.217 0.696 0.187
O2 0.270 0.270 0.691
O3 0.304 0.783 0.813
O4 0.696 0.217 0.187
O5 0.730 0.730 0.309
O6 0.783 0.304 0.813


[9]
# PaZnGaAg

A relaxed structure of PaZnGaAg (PBE-GGA, Alexandria).

Computed properties:
- Calculated volume: 78.9 Å³/f.u.
- D(E_F): 5.22 states/eV/f.u.
- Energy of formation from the pure elements: -0.02 eV per atom

Cell lengths 4.814, 4.814, 4.814 Å; angles 60.00, 60.00, 60.00 degrees
Positions (direct):
Pa1 0.000 0.000 0.000
Zn1 0.750 0.750 0.750
Ga1 0.250 0.250 0.250
Ag1 0.500 0.500 0.500


[10]
# Gd2DyGa

A relaxed structure of Gd2DyGa (PBE-GGA, Alexandria).

Computed properties:
- Calculated volume: 112.3 Å³/f.u.
- E above lowest polymorph: 0 meV/atom
- D(E_F): 5.49 states/eV/f.u.
- Energy of formation from the pure elements: -0.26 eV per atom

Cell lengths 3.540, 3.540, 8.961 Å; angles 90.00, 90.00, 90.00 degrees
Positions (direct):
Gd1 0.000 0.000 0.211
Gd2 0.000 0.000 0.789
Dy1 0.500 0.500 0.500
Ga1 0.500 0.500 0.000


[11]
# SmDyPbAu

A relaxed structure of SmDyPbAu (PBE-GGA, Alexandria).

Computed properties:
- Calculated volume: 105.9 Å³/f.u.
- D(E_F): 3.26 states/eV/f.u.
- Energy of formation from the pure elements: -0.61 eV per atom

Cell lengths 5.311, 5.311, 5.311 Å; angles 60.00, 60.00, 60.00 degrees
Positions (direct):
Sm1 0.000 0.000 0.000
Dy1 0.500 0.500 0.500
Pb1 0.250 0.250 0.250
Au1 0.750 0.750 0.750


[12]
# NaSr2Ag6Sn

A relaxed structure of NaSr2Ag6Sn (PBE-GGA, Alexandria).

Computed properties:
- Calculated volume: 287.7 Å³/f.u.
- D(E_F): 4.95 states/eV/f.u.
- Energy of formation from the pure elements: 0.17 eV per atom

Cell lengths 7.410, 7.410, 7.410 Å; angles 60.00, 60.00, 60.00 degrees
Positions (direct):
Na1 0.000 0.000 0.000
Sr1 0.250 0.250 0.250
Sr2 0.750 0.750 0.750
Ag1 0.246 0.246 0.754
Ag2 0.246 0.754 0.246
Ag3 0.246 0.754 0.754
Ag4 0.754 0.246 0.246
Ag5 0.754 0.246 0.754
Ag6 0.754 0.754 0.246
Sn1 0.500 0.500 0.500


Respective total magnetic moment values: 0.0; 0.3; 0.0; 0.0; 0.0; 0.0; 0.0; 0.0; 0.0; 14.6; 0.8; 0.0 μB per formula unit.